{"formula": "Pr2TlPd", "functional": "GGA-PBE", "state": "relaxed", "n_ef_per_ev_cell": 7.72, "delta_e_f_ev_per_atom": -0.479, "cell": [[-0.782, -6.145, 1.999], [3.314, -0.251, -5.597], [3.424, 3.500, 4.562]], "species": ["Tl", "Tl", "Pr", "Pd", "Pr", "Pr", "Pd", "Pr"], "fractional_positions": [[0.770, 0.230, 0.000], [0.230, 0.770, 0.000], [0.729, 0.729, 0.000], [0.800, 0.800, 0.600], [0.250, 0.750, 0.500], [0.750, 0.250, 0.500], [0.200, 0.200, 0.400], [0.271, 0.271, 0.000]]}

***

{"formula": "YSe3N", "functional": "GGA-PBE", "state": "relaxed", "raw_formation_energy_ev_per_atom": -0.109, "e_above_lowest_polymorph_ev_per_atom": 0.000, "n_ef_per_ev_cell": 3.60, "cell": [[-2.659, 0.499, 3.626], [-3.420, -1.934, -2.243], [1.302, -4.059, 1.514]], "species": ["Se", "Se", "N", "Y", "Se"], "fractional_positions": [[0.000, 0.500, 0.000], [0.500, 0.000, 0.000], [0.000, 0.000, 0.000], [0.500, 0.500, 0.500], [0.000, 0.000, 0.500]]}

***

{"formula": "Cu2IrSe", "functional": "GGA-PBE", "state": "relaxed", "raw_formation_energy_ev_per_atom": 0.282, "n_ef_per_ev_cell": 1.40, "cell": [[-1.240, -0.553, 8.099], [-2.716, -2.894, 7.189], [0.161, -3.062, 7.618]], "species": ["Se", "Cu", "Cu", "Ir"], "fractional_positions": [[0.753, 0.753, 0.753], [0.252, 0.252, 0.252], [0.996, 0.996, 0.996], [0.499, 0.499, 0.499]]}

***

{"formula": "Pm3NdTm4", "functional": "GGA-PBE", "state": "relaxed", "e_above_lowest_polymorph_ev_per_atom": 0.000, "n_ef_per_ev_cell": 9.70, "delta_e_f_ev_per_atom": 0.019, "cell": [[3.584, -0.002, -0.004], [0.000, 5.730, -2.358], [0.013, 2.475, 11.474]], "species": ["Tm", "Tm", "Tm", "Pm", "Nd", "Pm", "Pm", "Tm"], "fractional_positions": [[0.500, 0.749, 0.250], [0.000, 0.750, 0.750], [0.000, 0.250, 0.250], [0.000, 0.500, 0.000], [0.500, 0.000, 0.000], [0.000, 0.000, 0.500], [0.500, 0.500, 0.500], [0.500, 0.251, 0.750]]}

***

{"formula": "Zr2OsPb", "functional": "GGA-PBE", "state": "relaxed", "n_ef_per_ev_cell": 5.07, "delta_e_f_ev_per_atom": 0.266, "cell": [[-8.737, 2.656, 3.082], [-8.023, 0.389, 5.326], [-6.957, 3.455, 5.704]], "species": ["Zr", "Zr", "Pb", "Os"], "fractional_positions": [[0.240, 0.240, 0.240], [0.997, 0.997, 0.997], [0.758, 0.758, 0.758], [0.505, 0.505, 0.505]]}

***

{"formula": "Mg2AlSi", "functional": "GGA-PBE", "state": "relaxed", "raw_formation_energy_ev_per_atom": 0.087, "n_ef_per_ev_cell": 1.48, "cell": [[-1.891, -1.000, 2.294], [-0.971, -2.913, -2.070], [4.961, -3.480, 2.571]], "species": ["Mg", "Si", "Al", "Mg"], "fractional_positions": [[0.000, 0.000, 0.976], [0.000, 0.000, 0.534], [0.500, 0.500, 0.711], [0.500, 0.500, 0.279]]}

***

Please write out number 1 again, unchanged.
{"formula": "Pr2TlPd", "functional": "GGA-PBE", "state": "relaxed", "n_ef_per_ev_cell": 7.72, "delta_e_f_ev_per_atom": -0.479, "cell": [[-0.782, -6.145, 1.999], [3.314, -0.251, -5.597], [3.424, 3.500, 4.562]], "species": ["Tl", "Tl", "Pr", "Pd", "Pr", "Pr", "Pd", "Pr"], "fractional_positions": [[0.770, 0.230, 0.000], [0.230, 0.770, 0.000], [0.729, 0.729, 0.000], [0.800, 0.800, 0.600], [0.250, 0.750, 0.500], [0.750, 0.250, 0.500], [0.200, 0.200, 0.400], [0.271, 0.271, 0.000]]}